(1)
The following is a DFT calculation (PBE-GGA) of a relaxed structure of KTe2W.

Unit cell a=5.1009 b=5.1009 c=5.1009 alpha=60.00 beta=60.00 gamma=60.00
Element x y z (fractional)
K: 0.0000 0.0000 0.0000
Te: 0.2500 0.2500 0.2500
Te: 0.7500 0.7500 0.7500
W: 0.5000 0.5000 0.5000

Values from the calculation:
Offset from the most stable computed form = 2.287 eV/f.u.
DOS(E_F) = 5.0 states/eV/cell
E_form (uncorrected) = 0.5198 eV per atom

(2)
The following is a DFT calculation (PBE-GGA) of a relaxed structure of PrTiRhO6.

Unit cell a=5.1978 b=5.1978 c=5.1723 alpha=90.00 beta=90.00 gamma=120.00
Element x y z (fractional)
Pr: 0.0000 0.0000 0.0000
Ti: 0.3333 0.6667 0.5000
Rh: 0.6667 0.3333 0.5000
O: 0.0013 0.3663 0.7101
O: 0.0013 0.6350 0.2899
O: 0.3650 0.3663 0.2899
O: 0.3650 0.9987 0.7101
O: 0.6337 0.6350 0.7101
O: 0.6337 0.9987 0.2899

Values from the calculation:
DOS(E_F) = 4.0 states/eV/cell
E_form (uncorrected) = -2.1582 eV per atom

(3)
The following is a DFT calculation (PBE-GGA) of a relaxed structure of CdSnIrPd.

Unit cell a=4.6242 b=4.6242 c=4.6242 alpha=60.00 beta=60.00 gamma=60.00
Element x y z (fractional)
Cd: 0.0000 0.0000 0.0000
Sn: 0.5000 0.5000 0.5000
Ir: 0.2500 0.2500 0.2500
Pd: 0.7500 0.7500 0.7500

Values from the calculation:
Calculated formation energy = -0.19 eV per atom
DOS(E_F) = 3.4 states/eV/cell

(4)
The following is a DFT calculation (PBE-GGA) of a relaxed structure of InTc2B2.

Unit cell a=6.2331 b=6.2331 c=3.0628 alpha=90.00 beta=90.00 gamma=90.00
Element x y z (fractional)
In: 0.0000 0.0000 0.0000
In: 0.5000 0.5000 0.0000
Tc: 0.1616 0.3384 0.5000
Tc: 0.3384 0.8384 0.5000
Tc: 0.6616 0.1616 0.5000
Tc: 0.8384 0.6616 0.5000
B: 0.1070 0.6070 0.0000
B: 0.3930 0.1070 0.0000
B: 0.6070 0.8930 0.0000
B: 0.8930 0.3930 0.0000

Values from the calculation:
Calculated formation energy = 0.09 eV per atom
DOS(E_F) = 5.3 states/eV/cell

(5)
The following is a DFT calculation (PBE-GGA) of a relaxed structure of HfSe2N.

Unit cell a=6.8995 b=6.8995 c=6.8995 alpha=133.42 beta=133.42 gamma=68.00
Element x y z (fractional)
Hf: 0.0000 0.0000 0.0000
Hf: 0.7500 0.2500 0.5000
Se: 0.1854 0.6250 0.0604
Se: 0.3750 0.4354 0.5604
Se: 0.5646 0.1250 0.9396
Se: 0.8750 0.8146 0.4396
N: 0.2500 0.7500 0.5000
N: 0.5000 0.5000 0.0000

Values from the calculation:
DOS(E_F) = 6.5 states/eV/cell
E_form (uncorrected) = 0.5519 eV per atom

(6)
The following is a DFT calculation (PBE-GGA) of a relaxed structure of In2HgPtPb.

Unit cell a=5.1759 b=5.1759 c=5.6173 alpha=90.00 beta=90.00 gamma=90.00
Element x y z (fractional)
In: 0.0000 0.5000 0.0000
In: 0.5000 0.0000 0.0000
Hg: 0.0000 0.0000 0.5000
Pt: 0.5000 0.5000 0.0000
Pb: 0.5000 0.5000 0.5000

Values from the calculation:
Calculated formation energy = -0.08 eV per atom
DOS(E_F) = 3.7 states/eV/cell